No. 1
This record from Alexandria describes TbHoCuAg after structural relaxation. The functional is PBE.

Summary:
Electronic total energy   -4.3232 eV per atom
SG   P4mm
Calculated formation energy   -0.28 eV per atom

Geometry as POSCAR:
```
TbHoCuAg
1.0
3.542 0.000 0.000
0.000 3.542 0.000
0.000 0.000 7.152
Tb Ho Cu Ag
1 1 1 1
direct
0.000 0.000 0.843
0.000 0.000 0.371
0.500 0.500 0.601
0.500 0.500 0.112
```

---

No. 2
This record from Alexandria describes NaIrS2 after structural relaxation. The functional is PBE.

Summary:
Electronic total energy   -4.5371 eV per atom
Raw formation energy   0.07 eV/atom
SG   R-3m

Geometry as POSCAR:
```
NaIrS2
1.0
1.725 0.000 8.680
-0.862 1.494 8.680
-0.862 -1.494 8.680
Na S Ir
1 2 1
direct
0.500 0.500 0.500
0.914 0.914 0.914
0.086 0.086 0.086
0.000 0.000 0.000
```

---

Number 1: density 9.2 g/cm³. Number 2: density 6.9 g/cm³.